[1]
The following is a GGA-PBE calculation of an optimized crystal structure of La6Os2Au, from Alexandria.

abc: 6.8690 7.2702 7.2702
angles: 120.00 90.00 90.00
Fractional coordinates of all 9 atoms:
1 La 0.7288 0.6517 0.6517
2 La 0.2712 0.0000 0.6517
3 La 0.2712 0.6517 0.0000
4 La 0.2712 0.3483 0.3483
5 La 0.7288 0.3483 0.0000
6 La 0.7288 0.0000 0.3483
7 Au 0.0000 0.0000 0.0000
8 Os 0.5000 0.3333 0.6667
9 Os 0.5000 0.6667 0.3333

Output
For the volume, the calculation gives 314 Å³/cell. Its formation energy is -26.7 kJ per mole of atoms. Its total magnetization is 0.00 μB per atom. The calculated total energy comes out at -57.8 eV/cell. The crystal system is trigonal.


[2]
The following is a GGA-PBE calculation of an optimized crystal structure of KLiCN2, from Alexandria.

abc: 4.2281 5.7181 6.1056
angles: 103.78 90.00 90.00
Fractional coordinates of all 10 atoms:
1 N 0.7907 0.1577 0.5300
2 N 0.7907 0.8423 0.9700
3 N 0.2093 0.8423 0.4700
4 N 0.2093 0.1577 0.0300
5 K 0.7477 0.5000 0.2500
6 K 0.2523 0.5000 0.7500
7 Li 0.4838 0.0000 0.2500
8 Li 0.5162 0.0000 0.7500
9 C 0.0000 0.0000 0.0000
10 C 0.0000 0.0000 0.5000

Output
As for the formation energy from raw total energies: -0.524 eV per atom. For the volume, the calculation gives 143 Å³/cell. Its total magnetization is 0.00 μB per atom. The calculated total energy comes out at -63.0 eV/cell. The crystal system is monoclinic.


[3]
The following is a GGA-PBE calculation of an optimized crystal structure of PuTi2Cu, from Alexandria.

abc: 3.0646 4.6807 4.6807
angles: 90.00 90.00 90.00
Fractional coordinates of all 4 atoms:
1 Ti 0.0000 0.5000 0.0000
2 Ti 0.0000 0.0000 0.5000
3 Pu 0.5000 0.5000 0.5000
4 Cu 0.5000 0.0000 0.0000

Output
The calculation puts the excess energy over the best structure of this formula in the dataset at 39 meV/atom. For the volume, the calculation gives 67 Å³/cell. Its formation energy is 8.3 kJ per mole of atoms. Its total magnetization is 1.23 μB per atom. The calculated total energy comes out at -33.9 eV/cell. The crystal system is tetragonal.


[4]
The following is a GGA-PBE calculation of an optimized crystal structure of K2Cd3Sn4Pb, from Alexandria.

abc: 5.0034 5.0034 12.5776
angles: 90.00 90.00 90.00
Fractional coordinates of all 10 atoms:
1 K 0.0000 0.5000 0.7556
2 K 0.5000 0.0000 0.2444
3 Pb 0.5000 0.5000 0.5000
4 Sn 0.5000 0.5000 0.0000
5 Sn 0.0000 0.5000 0.3610
6 Sn 0.0000 0.0000 0.0000
7 Sn 0.5000 0.0000 0.6390
8 Cd 0.0000 0.0000 0.5000
9 Cd 0.5000 0.0000 0.8665
10 Cd 0.0000 0.5000 0.1335

Output
For the volume, the calculation gives 315 Å³/cell. Its formation energy is -13.5 kJ per mole of atoms. Its total magnetization is 0.00 μB per atom. The calculated total energy comes out at -26.1 eV/cell. The crystal system is tetragonal.


[5]
The following is a GGA-PBE calculation of an optimized crystal structure of NaSiAs, from Alexandria.

abc: 4.8903 4.0533 7.4039
angles: 74.60 87.77 97.27
Fractional coordinates of all 6 atoms:
1 Si 0.7605 0.3138 0.1014
2 Si 0.6850 0.8778 0.9390
3 As 0.8219 0.8649 0.6311
4 As 0.6236 0.3268 0.4093
5 Na 0.1871 0.8139 0.2767
6 Na 0.2583 0.3777 0.7637

Output
As for the formation energy from raw total energies: -0.034 eV per atom. For the volume, the calculation gives 140 Å³/cell. Its total magnetization is 0.00 μB per atom. The calculated total energy comes out at -23.0 eV/cell. The crystal system is triclinic.


[6]
The following is a GGA-PBE calculation of an optimized crystal structure of Sc2H5, from Alexandria.

abc: 3.3276 5.7282 5.9851
angles: 90.00 90.00 90.00
Fractional coordinates of all 14 atoms:
1 Sc 0.5000 0.5752 0.5000
2 Sc 0.0000 0.4248 0.0000
3 Sc 0.5000 0.9123 0.0000
4 Sc 0.0000 0.0877 0.5000
5 H 0.0000 0.1063 0.1601
6 H 0.0000 0.1063 0.8399
7 H 0.5000 0.8937 0.6601
8 H 0.5000 0.8937 0.3399
9 H 0.5000 0.2441 0.5000
10 H 0.5000 0.5593 0.1583
11 H 0.0000 0.4407 0.6583
12 H 0.0000 0.4407 0.3417
13 H 0.5000 0.5593 0.8417
14 H 0.0000 0.7559 0.0000

Output
For the volume, the calculation gives 114 Å³/cell. Its total magnetization is 0.00 μB per atom. The calculated total energy comes out at -65.9 eV/cell. The crystal system is orthorhombic.


[7]
The following is a GGA-PBE calculation of an optimized crystal structure of CaZn2Fe, from Alexandria.

abc: 4.6090 4.6090 9.1555
angles: 75.42 75.42 90.00
Fractional coordinates of all 8 atoms:
1 Fe 0.7500 0.2500 0.5000
2 Fe 0.0000 0.0000 0.0000
3 Zn 0.7902 0.1250 0.2500
4 Zn 0.3750 0.2098 0.7500
5 Zn 0.8750 0.0402 0.7500
6 Zn 0.9598 0.6250 0.2500
7 Ca 0.5000 0.5000 0.0000
8 Ca 0.2500 0.7500 0.5000

Output
For the volume, the calculation gives 182 Å³/cell. Its formation energy is 32.6 kJ per mole of atoms. Its total magnetization is 0.53 μB per atom. The calculated total energy comes out at -23.3 eV/cell. The crystal system is tetragonal.


[8]
The following is a GGA-PBE calculation of an optimized crystal structure of BePb, from Alexandria.

abc: 5.8257 5.8257 5.8257
angles: 90.00 90.00 90.00
Fractional coordinates of all 8 atoms:
1 Be 0.7500 0.2500 0.7500
2 Be 0.2500 0.7500 0.7500
3 Be 0.7500 0.7500 0.2500
4 Be 0.2500 0.2500 0.2500
5 Pb 0.0000 0.5000 0.5000
6 Pb 0.5000 0.0000 0.5000
7 Pb 0.0000 0.0000 0.0000
8 Pb 0.5000 0.5000 0.0000

Output
The calculation puts the excess energy over the best structure of this formula in the dataset at 556 meV/atom. For the volume, the calculation gives 198 Å³/cell. Its formation energy is 83.0 kJ per mole of atoms. Its total magnetization is 0.00 μB per atom. The calculated total energy comes out at -22.9 eV/cell. The crystal system is cubic.


[9]
The following is a GGA-PBE calculation of an optimized crystal structure of MnFeAg2, from Alexandria.

abc: 4.9055 4.9055 4.9055
angles: 132.61 132.61 69.26
Fractional coordinates of all 4 atoms:
1 Ag 0.5000 0.5000 0.0000
2 Ag 0.0000 0.0000 0.0000
3 Mn 0.7500 0.2500 0.5000
4 Fe 0.2500 0.7500 0.5000

Output
The calculation puts the excess energy over the best structure of this formula in the dataset at 139 meV/atom. For the volume, the calculation gives 63 Å³/cell. Its formation energy is 38.2 kJ per mole of atoms. Its total magnetization is 1.68 μB per atom. The calculated total energy comes out at -21.8 eV/cell. The crystal system is tetragonal.


[10]
The following is a GGA-PBE calculation of an optimized crystal structure of Ru4Pt5, from Alexandria.

abc: 7.6551 7.6551 5.4129
angles: 90.00 90.00 60.00
Fractional coordinates of all 18 atoms:
1 Pt 0.6750 0.3250 0.7500
2 Pt 0.3250 0.0000 0.7500
3 Pt 0.3333 0.3333 0.5000
4 Pt 0.6750 0.0000 0.2500
5 Pt 0.0000 0.6750 0.7500
6 Pt 0.6667 0.6667 0.0000
7 Pt 0.3250 0.6750 0.2500
8 Pt 0.6667 0.6667 0.5000
9 Pt 0.3333 0.3333 0.0000
10 Pt 0.0000 0.3250 0.2500
11 Ru 0.3356 0.0000 0.2500
12 Ru 0.0000 0.6644 0.2500
13 Ru 0.0000 0.0000 0.5000
14 Ru 0.3356 0.6644 0.7500
15 Ru 0.0000 0.3356 0.7500
16 Ru 0.6644 0.0000 0.7500
17 Ru 0.0000 0.0000 0.0000
18 Ru 0.6644 0.3356 0.2500

Output
The calculation puts the excess energy over the best structure of this formula in the dataset at 297 meV/atom. For the volume, the calculation gives 275 Å³/cell. Its formation energy is 26.0 kJ per mole of atoms. Its total magnetization is 0.00 μB per atom. The calculated total energy comes out at -129.8 eV/cell. The crystal system is hexagonal.


[11]
The following is a GGA-PBE calculation of an optimized crystal structure of MgVRe, from Alexandria.

abc: 2.9830 4.6475 7.5034
angles: 90.00 90.00 90.00
Fractional coordinates of all 6 atoms:
1 V 0.5000 0.5000 0.5495
2 V 0.0000 0.0000 0.4505
3 Re 0.0000 0.5000 0.2985
4 Re 0.5000 0.0000 0.7015
5 Mg 0.0000 0.0000 0.0594
6 Mg 0.5000 0.5000 0.9406

Output
For the volume, the calculation gives 104 Å³/cell. Its formation energy is 31.7 kJ per mole of atoms. Its total magnetization is 0.00 μB per atom. The calculated total energy comes out at -44.4 eV/cell. The crystal system is orthorhombic.


[12]
The following is a GGA-PBE calculation of an optimized crystal structure of TlCrTe2, from Alexandria.

abc: 6.0336 6.0336 6.0336
angles: 140.99 112.49 80.82
Fractional coordinates of all 4 atoms:
1 Te 0.4422 0.4422 0.0000
2 Te 0.0578 0.0578 0.0000
3 Cr 0.2500 0.7500 0.5000
4 Tl 0.7500 0.2500 0.5000

Output
As for the formation energy from raw total energies: 0.018 eV per atom. For the volume, the calculation gives 124 Å³/cell. Its total magnetization is 0.79 μB per atom. The calculated total energy comes out at -18.2 eV/cell. The crystal system is orthorhombic.


[13]
The following is a GGA-PBE calculation of an optimized crystal structure of Tc3HgRu, from Alexandria.

abc: 4.6731 4.6731 4.6731
angles: 90.00 90.00 90.00
Fractional coordinates of all 5 atoms:
1 Ru 0.0000 0.0000 0.0000
2 Tc 0.0000 0.5000 0.0000
3 Tc 0.5000 0.0000 0.0000
4 Tc 0.0000 0.0000 0.5000
5 Hg 0.5000 0.5000 0.5000

Output
The calculation puts the excess energy over the best structure of this formula in the dataset at 0 meV/atom. For the volume, the calculation gives 102 Å³/cell. Its formation energy is 159.7 kJ per mole of atoms. Its total magnetization is 0.37 μB per atom. The calculated total energy comes out at -32.4 eV/cell. The crystal system is cubic.


[14]
The following is a GGA-PBE calculation of an optimized crystal structure of AgHg2Au, from Alexandria.

abc: 4.7780 3.1018 5.5602
angles: 86.71 90.00 90.00
Fractional coordinates of all 4 atoms:
1 Au 0.5000 0.8725 0.7015
2 Ag 0.0000 0.3906 0.5487
3 Hg 0.0000 0.8657 0.0193
4 Hg 0.5000 0.3711 0.2305

Output
For the volume, the calculation gives 82 Å³/cell. Its formation energy is 8.1 kJ per mole of atoms. Its total magnetization is 0.00 μB per atom. The calculated total energy comes out at -6.4 eV/cell. The crystal system is monoclinic.


[15]
The following is a GGA-PBE calculation of an optimized crystal structure of Sm2DyAl3, from Alexandria.

abc: 3.6408 3.6408 11.0264
angles: 90.00 90.00 90.00
Fractional coordinates of all 6 atoms:
1 Sm 0.5000 0.5000 0.1698
2 Sm 0.5000 0.5000 0.8302
3 Al 0.0000 0.0000 0.3409
4 Al 0.0000 0.0000 0.6591
5 Al 0.0000 0.0000 0.0000
6 Dy 0.5000 0.5000 0.5000

Output
The calculation puts the excess energy over the best structure of this formula in the dataset at 0 meV/atom. For the volume, the calculation gives 146 Å³/cell. Its formation energy is -36.9 kJ per mole of atoms. Its total magnetization is 0.00 μB per atom. The calculated total energy comes out at -27.6 eV/cell. The crystal system is tetragonal.


[16]
The following is a GGA-PBE calculation of an optimized crystal structure of LaCoNiGe2, from Alexandria.

abc: 4.1583 4.1583 5.8617
angles: 110.77 110.77 90.00
Fractional coordinates of all 5 atoms:
1 Ni 0.7500 0.2500 0.5000
2 Ge 0.6337 0.6337 0.2674
3 Ge 0.3663 0.3663 0.7326
4 La 0.0000 0.0000 0.0000
5 Co 0.2500 0.7500 0.5000

Output
For the volume, the calculation gives 88 Å³/cell. Its formation energy is -61.1 kJ per mole of atoms. Its total magnetization is 0.26 μB per atom. The calculated total energy comes out at -30.2 eV/cell. The crystal system is tetragonal.


[17]
The following is a GGA-PBE calculation of an optimized crystal structure of AlReSi2O, from Alexandria.

abc: 4.5970 4.8497 4.5970
angles: 90.00 90.00 90.00
Fractional coordinates of all 5 atoms:
1 Al 0.0000 0.5000 0.0000
2 Si 0.0000 0.0000 0.5000
3 Si 0.5000 0.0000 0.0000
4 Re 0.0000 0.0000 0.0000
5 O 0.5000 0.5000 0.5000

Output
As for the formation energy from raw total energies: 0.541 eV per atom. For the volume, the calculation gives 102 Å³/cell. Its total magnetization is 0.32 μB per atom. The calculated total energy comes out at -29.3 eV/cell. The crystal system is tetragonal.


[18]
The following is a GGA-PBE calculation of an optimized crystal structure of Nd2SbTe, from Alexandria.

abc: 4.5124 6.3829 9.0494
angles: 90.00 90.00 90.00
Fractional coordinates of all 8 atoms:
1 Sb 0.5000 0.0000 0.6253
2 Sb 0.0000 0.5000 0.3747
3 Nd 0.0000 0.0000 0.3815
4 Nd 0.5000 0.5000 0.6185
5 Nd 0.0000 0.0000 0.8648
6 Nd 0.5000 0.5000 0.1352
7 Te 0.5000 0.0000 0.1225
8 Te 0.0000 0.5000 0.8775

Output
As for the formation energy from raw total energies: -1.350 eV per atom. The calculation puts the excess energy over the best structure of this formula in the dataset at 0 meV/atom. For the volume, the calculation gives 261 Å³/cell. Its total magnetization is 0.00 μB per atom. The calculated total energy comes out at -44.4 eV/cell. The crystal system is orthorhombic.


[19]
The following is a GGA-PBE calculation of an optimized crystal structure of AlOsBr, from Alexandria.

abc: 4.3803 4.3803 3.0072
angles: 90.00 90.00 120.00
Fractional coordinates of all 3 atoms:
1 Os 0.3333 0.6667 0.5003
2 Al 0.0000 0.0000 0.9998
3 Br 0.6667 0.3333 0.4999

Output
As for the formation energy from raw total energies: 0.731 eV per atom. The calculation puts the excess energy over the best structure of this formula in the dataset at 390 meV/atom. For the volume, the calculation gives 50 Å³/cell. Its total magnetization is 0.00 μB per atom. The calculated total energy comes out at -14.5 eV/cell. The crystal system is hexagonal.


[20]
The following is a GGA-PBE calculation of an optimized crystal structure of SrTc2Ag, from Alexandria.

abc: 2.7510 2.7510 9.7661
angles: 90.00 90.00 89.98
Fractional coordinates of all 4 atoms:
1 Sr 0.5000 0.5000 0.7500
2 Ag 0.5000 0.5000 0.2500
3 Tc 0.0000 0.0000 0.0242
4 Tc 0.0000 0.0000 0.4758

Output
The calculation puts the excess energy over the best structure of this formula in the dataset at 584 meV/atom. For the volume, the calculation gives 74 Å³/cell. Its formation energy is 89.5 kJ per mole of atoms. Its total magnetization is 0.00 μB per atom. The calculated total energy comes out at -21.6 eV/cell. The crystal system is tetragonal.